#one
Here is a geometry-optimized SmTeW structure from OQMD. Energies are from PBE.

Output
The density comes out at 8.5 g/cm3. Its total moment is 2.97 μB per cell.

Unit cell a=5.0343 b=5.0343 c=5.0343 alpha=60.00 beta=60.00 gamma=60.00
Sites, in units of the cell vectors:
W1 0.7500 0.7500 0.7500
Te1 0.2500 0.2500 0.2500
Sm1 0.0000 0.0000 0.0000

=====

#two
Here is a geometry-optimized SmTeW structure from OQMD. Energies are from PBE.

Output
The density comes out at 9.9 g/cm3. Its total moment is 1.24 μB per cell.

Unit cell a=4.7918 b=4.7918 c=4.7918 alpha=60.00 beta=60.00 gamma=60.00
Sites, in units of the cell vectors:
W1 0.7500 0.7500 0.7500
Sm1 0.2500 0.2500 0.2500
Te1 0.0000 0.0000 0.0000

=====

Relative to the most stable one, in kJ/mol of atoms, the structures come out at #one 46.1; #two 0.0.

=====

#one
Here is a geometry-optimized SmTh structure from OQMD. Energies are from PBE.

Output
The density comes out at 9.1 g/cm3. Its total moment is 0.02 μB per cell.

Unit cell a=4.6220 b=4.6220 c=4.6220 alpha=60.00 beta=60.00 gamma=60.00
Sites, in units of the cell vectors:
Sm1 0.0000 0.0000 0.0000
Th1 0.5000 0.5000 0.5000

=====

#two
Here is a geometry-optimized SmTh structure from OQMD. Energies are from PBE.

Output
The density comes out at 8.1 g/cm3. Its total moment is 0.00 μB per cell.

Unit cell a=4.8128 b=4.8128 c=4.8128 alpha=60.00 beta=60.00 gamma=60.00
Sites, in units of the cell vectors:
Th1 0.2500 0.2500 0.2500
Sm1 0.0000 0.0000 0.0000

=====

Relative to the most stable one, in kJ/mol of atoms, the structures come out at #one 0.0; #two 97.7.

=====

#one
Here is a geometry-optimized Sm2Tm structure from OQMD. Energies are from PBE.

Output
The density comes out at 7.8 g/cm3. Its total moment is 0.01 μB per cell.

Unit cell a=6.5737 b=6.5737 c=6.5737 alpha=60.00 beta=60.00 gamma=60.00
Sites, in units of the cell vectors:
Sm1 0.6250 0.6250 0.1250
Sm2 0.6250 0.1250 0.6250
Sm3 0.6250 0.6250 0.6250
Sm4 0.1250 0.6250 0.6250
Tm1 0.2500 0.2500 0.2500
Tm2 0.0000 0.0000 0.0000

=====

#two
Here is a geometry-optimized Sm2Tm structure from OQMD. Energies are from PBE.

Output
The density comes out at 3.0 g/cm3. Its total moment is 0.01 μB per cell.

Unit cell a=9.0021 b=9.0021 c=9.0021 alpha=60.00 beta=60.00 gamma=60.00
Sites, in units of the cell vectors:
Sm1 0.8750 0.3750 0.3750
Sm2 0.3750 0.3750 0.8750
Sm3 0.3750 0.8750 0.3750
Sm4 0.3750 0.3750 0.3750
Tm1 0.2500 0.2500 0.2500
Tm2 0.5000 0.5000 0.5000

=====

Relative to the most stable one, in kJ/mol of atoms, the structures come out at #one 0.0; #two 207.1.

=====

#one
Here is a geometry-optimized SmTm2 structure from OQMD. Energies are from PBE.

Output
The density comes out at 8.1 g/cm3. Its total moment is 4.94 μB per cell.

Unit cell a=6.5710 b=6.5710 c=6.5710 alpha=60.00 beta=60.00 gamma=60.00
Site moments in Bohr magnetons follow the coordinates.
Sites, in units of the cell vectors:
Tm1 0.6250 0.1250 0.6250  0.46
Tm2 0.6250 0.6250 0.6250  0.46
Tm3 0.1250 0.6250 0.6250  0.53
Tm4 0.6250 0.6250 0.1250  0.42
Sm1 0.2500 0.2500 0.2500  0.50
Sm2 0.0000 0.0000 0.0000  0.50

=====

#two
Here is a geometry-optimized SmTm2 structure from OQMD. Energies are from PBE.

Output
The density comes out at 2.2 g/cm3. Its total moment is 10.83 μB per cell.

Unit cell a=10.1661 b=10.1661 c=10.1661 alpha=60.00 beta=60.00 gamma=60.00
Site moments in Bohr magnetons follow the coordinates.
Sites, in units of the cell vectors:
Sm1 0.2500 0.2500 0.2500  0.54
Sm2 0.5000 0.5000 0.5000  0.54
Tm1 0.3750 0.8750 0.3750  0.77
Tm2 0.3750 0.3750 0.3750  0.77
Tm3 0.3750 0.3750 0.8750  0.74
Tm4 0.8750 0.3750 0.3750  0.87

=====

Relative to the most stable one, in kJ/mol of atoms, the structures come out at #one 0.0; #two 272.8.

=====

#one
Here is a geometry-optimized SmU structure from OQMD. Energies are from PBE.

Output
The density comes out at 12.1 g/cm3. Its total moment is 2.05 μB per cell.

Unit cell a=3.2413 b=3.2413 c=5.8642 alpha=90.00 beta=90.00 gamma=120.00
Sites, in units of the cell vectors:
Sm1 0.6667 0.3333 0.7500
U1 0.3333 0.6667 0.2500

=====

#two
Here is a geometry-optimized SmU structure from OQMD. Energies are from PBE.

Output
The density comes out at 10.9 g/cm3. Its total moment is 0.59 μB per cell.

Unit cell a=4.3732 b=4.3732 c=4.3732 alpha=60.00 beta=60.00 gamma=60.00
Site moments in Bohr magnetons follow the coordinates.
Sites, in units of the cell vectors:
U1 0.2500 0.2500 0.2500  0.47
Sm1 0.0000 0.0000 0.0000  0.08

=====

Relative to the most stable one, in kJ/mol of atoms, the structures come out at #one 0.0; #two 158.1.

=====

#one
Here is a geometry-optimized Sm2W structure from OQMD. Energies are from PBE.

Output
The density comes out at 3.8 g/cm3. Its total moment is 0.01 μB per cell.

Unit cell a=8.4250 b=8.4250 c=8.4250 alpha=60.00 beta=60.00 gamma=60.00
Sites, in units of the cell vectors:
Sm1 0.8750 0.3750 0.3750
Sm2 0.3750 0.3750 0.3750
Sm3 0.3750 0.3750 0.8750
Sm4 0.3750 0.8750 0.3750
W1 0.2500 0.2500 0.2500
W2 0.5000 0.5000 0.5000

=====

#two
Here is a geometry-optimized Sm2W structure from OQMD. Energies are from PBE.

Output
The density comes out at 10.8 g/cm3. Its total moment is 0.03 μB per cell.

Unit cell a=5.9530 b=5.9530 c=5.9530 alpha=60.00 beta=60.00 gamma=60.00
Sites, in units of the cell vectors:
Sm1 0.6250 0.6250 0.6250
Sm2 0.6250 0.1250 0.6250
Sm3 0.6250 0.6250 0.1250
Sm4 0.1250 0.6250 0.6250
W1 0.2500 0.2500 0.2500
W2 0.0000 0.0000 0.0000

=====

Relative to the most stable one, in kJ/mol of atoms, the structures come out at #one 61.8; #two 0.0.

=====

#one
Here is a geometry-optimized SmY2 structure from OQMD. Energies are from PBE.

Output
The density comes out at 2.2 g/cm3. Its total moment is 0.08 μB per cell.

Unit cell a=8.8889 b=8.8889 c=8.8889 alpha=60.00 beta=60.00 gamma=60.00
Sites, in units of the cell vectors:
Y1 0.3750 0.3750 0.3750
Y2 0.8750 0.3750 0.3750
Y3 0.3750 0.3750 0.8750
Y4 0.3750 0.8750 0.3750
Sm1 0.5000 0.5000 0.5000
Sm2 0.2500 0.2500 0.2500

=====

#two
Here is a geometry-optimized SmY2 structure from OQMD. Energies are from PBE.

Output
The density comes out at 5.2 g/cm3. Its total moment is 1.16 μB per cell.

Unit cell a=6.6534 b=6.6534 c=6.6534 alpha=60.00 beta=60.00 gamma=60.00
Site moments in Bohr magnetons follow the coordinates.
Sites, in units of the cell vectors:
Sm1 0.0000 0.0000 0.0000  0.18
Sm2 0.2500 0.2500 0.2500  0.18
Y1 0.6250 0.1250 0.6250  0.01
Y2 0.6250 0.6250 0.1250  0.01
Y3 0.6250 0.6250 0.6250  0.02
Y4 0.1250 0.6250 0.6250  0.07

=====

Relative to the most stable one, in kJ/mol of atoms, the structures come out at #one 210.2; #two 0.0.

=====

#one
Here is a geometry-optimized Sm3Zn4 structure from OQMD. Energies are from PBE.

Output
The density comes out at 7.3 g/cm3. Its total moment is 0.01 μB per cell.

Unit cell a=8.5231 b=8.5240 c=5.1460 alpha=90.00 beta=90.00 gamma=60.00
Sites, in units of the cell vectors:
Sm1 0.5615 0.3304 0.5000
Sm2 0.6796 0.7042 0.5000
Sm3 0.1875 0.8226 0.5000
Sm4 0.7649 0.4156 0.0000
Sm5 0.2728 0.5338 0.0000
Sm6 0.3910 0.9075 0.0000
Zn1 0.0963 0.4960 0.5000
Zn2 0.9728 0.9988 0.0000
Zn3 0.1431 0.2855 0.0000
Zn4 0.8560 0.7423 0.0000
Zn5 0.3530 0.1222 0.5000
Zn6 0.8095 0.9523 0.5000
Zn7 0.5993 0.1160 0.0000
Zn8 0.9792 0.2394 0.5000

=====

#two
Here is a geometry-optimized Sm3Zn4 structure from OQMD. Energies are from PBE.

Output
The density comes out at 7.5 g/cm3. Its total moment is 0.50 μB per cell.

Unit cell a=8.8827 b=8.8825 c=4.6428 alpha=90.00 beta=90.00 gamma=59.99
Sites, in units of the cell vectors:
Zn1 0.4286 0.8572 0.0000
Zn2 0.5964 0.1553 0.0000
Zn3 0.7267 0.3911 0.0000
Zn4 0.5611 0.3561 0.5000
Zn5 0.0953 0.5239 0.5000
Zn6 0.9625 0.0249 0.0000
Zn7 0.9275 0.2255 0.5000
Zn8 0.7971 0.9897 0.5000
Sm1 0.8580 0.7508 0.0000
Sm2 0.3222 0.5340 0.0000
Sm3 0.4183 0.0944 0.5000
Sm4 0.6658 0.6301 0.5000
Sm5 0.2016 0.8469 0.5000
Sm6 0.1054 0.2865 0.0000

=====

Relative to the most stable one, in kJ/mol of atoms, the structures come out at #one 10.8; #two 0.0.

=====

#one
Here is a geometry-optimized Sm2Zr structure from OQMD. Energies are from PBE.

Output
The density comes out at 6.3 g/cm3. Its total moment is 1.70 μB per cell.

Unit cell a=5.2722 b=5.2722 c=5.2722 alpha=60.00 beta=60.00 gamma=60.00
Site moments in Bohr magnetons follow the coordinates.
Sites, in units of the cell vectors:
Sm1 0.7500 0.7500 0.7500  0.18
Sm2 0.2500 0.2500 0.2500  0.18
Zr1 0.0000 0.0000 0.0000  0.78

=====

#two
Here is a geometry-optimized Sm2Zr structure from OQMD. Energies are from PBE.

Output
The density comes out at 7.3 g/cm3. Its total moment is 2.70 μB per cell.

Unit cell a=6.3322 b=6.3322 c=6.3322 alpha=60.00 beta=60.00 gamma=60.00
Site moments in Bohr magnetons follow the coordinates.
Sites, in units of the cell vectors:
Zr1 0.2500 0.2500 0.2500  0.57
Zr2 0.0000 0.0000 0.0000  0.57
Sm1 0.6250 0.1250 0.6250  0.06
Sm2 0.6250 0.6250 0.6250  0.06
Sm3 0.1250 0.6250 0.6250  0.10
Sm4 0.6250 0.6250 0.1250  0.07

=====

Relative to the most stable one, in kJ/mol of atoms, the structures come out at #one 19.7; #two 0.0.

=====

#one
Here is a geometry-optimized SrTaSn structure from OQMD. Energies are from PBE.

Output
The density comes out at 6.5 g/cm3. Its total moment is 2.91 μB per cell.

Unit cell a=5.1913 b=5.1913 c=5.1913 alpha=60.00 beta=60.00 gamma=60.00
Sites, in units of the cell vectors:
Ta1 0.7500 0.7500 0.7500
Sn1 0.2500 0.2500 0.2500
Sr1 0.0000 0.0000 0.0000

=====

#two
Here is a geometry-optimized SrTaSn structure from OQMD. Energies are from PBE.

Output
The density comes out at 7.0 g/cm3. Its total moment is 2.50 μB per cell.

Unit cell a=5.0633 b=5.0633 c=5.0633 alpha=60.00 beta=60.00 gamma=60.00
Site moments in Bohr magnetons follow the coordinates.
Sites, in units of the cell vectors:
Ta1 0.7500 0.7500 0.7500  1.52
Sr1 0.2500 0.2500 0.2500  0.08
Sn1 0.0000 0.0000 0.0000  -0.10

=====

Relative to the most stable one, in kJ/mol of atoms, the structures come out at #one 73.6; #two 0.0.

=====

#one
Here is a geometry-optimized SrTcSn structure from OQMD. Energies are from PBE.

Output
The density comes out at 5.2 g/cm3. Its total moment is 3.27 μB per cell.

Unit cell a=5.1495 b=5.1495 c=5.1495 alpha=60.00 beta=60.00 gamma=60.00
Sites, in units of the cell vectors:
Sr1 0.0000 0.0000 0.0000
Tc1 0.7500 0.7500 0.7500
Sn1 0.2500 0.2500 0.2500

=====

#two
Here is a geometry-optimized SrTcSn structure from OQMD. Energies are from PBE.

Output
The density comes out at 6.5 g/cm3. Its total moment is 0.09 μB per cell.

Unit cell a=4.7961 b=4.7961 c=4.7961 alpha=60.00 beta=60.00 gamma=60.00
Sites, in units of the cell vectors:
Tc1 0.0000 0.0000 0.0000
Sn1 0.2500 0.2500 0.2500
Sr1 0.7500 0.7500 0.7500

=====

Relative to the most stable one, in kJ/mol of atoms, the structures come out at #one 80.7; #two 0.0.

=====

#one
Here is a geometry-optimized TaTlSn structure from OQMD. Energies are from PBE.

Output
The density comes out at 10.5 g/cm3. Its total moment is 1.49 μB per cell.

Unit cell a=4.8301 b=4.8301 c=4.8301 alpha=60.00 beta=60.00 gamma=60.00
Sites, in units of the cell vectors:
Ta1 0.2500 0.2500 0.2500
Sn1 0.0000 0.0000 0.0000
Tl1 0.7500 0.7500 0.7500

=====

#two
Here is a geometry-optimized TaTlSn structure from OQMD. Energies are from PBE.

Output
The density comes out at 10.6 g/cm3. Its total moment is 1.20 μB per cell.

Unit cell a=4.8127 b=4.8127 c=4.8127 alpha=60.00 beta=60.00 gamma=60.00
Sites, in units of the cell vectors:
Ta1 0.0000 0.0000 0.0000
Sn1 0.2500 0.2500 0.2500
Tl1 0.7500 0.7500 0.7500

=====

Relative to the most stable one, in kJ/mol of atoms, the structures come out at #one 29.0; #two 0.0.